Entry P
Below is a relaxed InIBrN2 crystal, with properties calculated at the PBE level.

CIF file:
```
data_InIBrN2
_cell_length_a 4.579
_cell_length_b 4.579
_cell_length_c 6.530
_cell_angle_alpha 90.00
_cell_angle_beta 90.00
_cell_angle_gamma 90.00
_symmetry_space_group_name_H-M 'P 4/m m m'
_symmetry_Int_Tables_number 123
_symmetry_space_group_name_Hall '-P 4 2'
loop_
_atom_site_label
_atom_site_fract_x
_atom_site_fract_y
_atom_site_fract_z
In1 0.000 0.000 0.000
I1 0.000 0.000 0.500
Br1 0.500 0.500 0.500
N1 0.000 0.500 0.000
```

Computed properties:
total magnetization	3.7	μB per cell
Fermi-level density of states	3.3	states/eV/cell



Entry Q
Below is a relaxed InIBrN2 crystal, with properties calculated at the PBE level.

CIF file:
```
data_InIBrN2
_cell_length_a 4.534
_cell_length_b 4.534
_cell_length_c 7.337
_cell_angle_alpha 90.00
_cell_angle_beta 90.00
_cell_angle_gamma 90.00
_symmetry_space_group_name_H-M 'P 4/m m m'
_symmetry_Int_Tables_number 123
_symmetry_space_group_name_Hall '-P 4 2'
loop_
_atom_site_label
_atom_site_fract_x
_atom_site_fract_y
_atom_site_fract_z
In1 0.000 0.000 0.000
I1 0.500 0.500 0.000
Br1 0.500 0.500 0.500
N1 0.000 0.500 0.500
```

Computed properties:
total magnetization	4.0	μB per cell
Fermi-level density of states	2.0	states/eV/cell



Which of them is most stable, and which least? Most stable: entry P; least stable: entry Q.



Entry P
Below is a relaxed InI2BrN crystal, with properties calculated at the PBE level.

CIF file:
```
data_InI2BrN
_cell_length_a 6.169
_cell_length_b 6.169
_cell_length_c 4.208
_cell_angle_alpha 90.00
_cell_angle_beta 90.00
_cell_angle_gamma 90.00
_symmetry_space_group_name_H-M 'P 4/m m m'
_symmetry_Int_Tables_number 123
_symmetry_space_group_name_Hall '-P 4 2'
loop_
_atom_site_label
_atom_site_fract_x
_atom_site_fract_y
_atom_site_fract_z
In1 0.000 0.000 0.000
I1 0.000 0.500 0.000
Br1 0.500 0.500 0.500
N1 0.000 0.000 0.500
```

Computed properties:
total magnetization	2.9	μB per cell
Fermi-level density of states	5.4	states/eV/cell



Entry Q
Below is a relaxed InI2BrN crystal, with properties calculated at the PBE level.

CIF file:
```
data_InI2BrN
_cell_length_a 7.334
_cell_length_b 7.334
_cell_length_c 3.715
_cell_angle_alpha 90.00
_cell_angle_beta 90.00
_cell_angle_gamma 90.00
_symmetry_space_group_name_H-M 'P 4/m m m'
_symmetry_Int_Tables_number 123
_symmetry_space_group_name_Hall '-P 4 2'
loop_
_atom_site_label
_atom_site_fract_x
_atom_site_fract_y
_atom_site_fract_z
In1 0.000 0.000 0.000
I1 0.000 0.500 0.500
Br1 0.500 0.500 0.500
N1 0.500 0.500 0.000
```

Computed properties:
total magnetization	0.0	μB per cell
Fermi-level density of states	5.3	states/eV/cell



Which of them is most stable, and which least? Most stable: entry P; least stable: entry Q.



Entry P
Below is a relaxed InI2BrO crystal, with properties calculated at the PBE level.

CIF file:
```
data_InI2BrO
_cell_length_a 6.361
_cell_length_b 6.361
_cell_length_c 3.906
_cell_angle_alpha 90.00
_cell_angle_beta 90.00
_cell_angle_gamma 90.00
_symmetry_space_group_name_H-M 'P 4/m m m'
_symmetry_Int_Tables_number 123
_symmetry_space_group_name_Hall '-P 4 2'
loop_
_atom_site_label
_atom_site_fract_x
_atom_site_fract_y
_atom_site_fract_z
In1 0.000 0.000 0.000
I1 0.000 0.500 0.000
Br1 0.500 0.500 0.500
O1 0.000 0.000 0.500
```

Computed properties:
total magnetization	1.1	μB per cell
Fermi-level density of states	5.7	states/eV/cell



Entry Q
Below is a relaxed InI2BrO crystal, with properties calculated at the PBE level.

CIF file:
```
data_InI2BrO
_cell_length_a 6.171
_cell_length_b 6.171
_cell_length_c 4.061
_cell_angle_alpha 90.00
_cell_angle_beta 90.00
_cell_angle_gamma 90.00
_symmetry_space_group_name_H-M 'P 4/m m m'
_symmetry_Int_Tables_number 123
_symmetry_space_group_name_Hall '-P 4 2'
loop_
_atom_site_label
_atom_site_fract_x
_atom_site_fract_y
_atom_site_fract_z
In1 0.000 0.000 0.000
I1 0.000 0.500 0.500
Br1 0.500 0.500 0.500
O1 0.500 0.500 0.000
```

Computed properties:
total magnetization	0.0	μB per cell
Fermi-level density of states	3.7	states/eV/cell



Which of them is most stable, and which least? Most stable: entry P; least stable: entry Q.